# K2MoO4 PBE+U relaxed
data_K2MoO4
_chemical_formula_sum 'K4 Mo2 O8'
_symmetry_space_group_name_H-M 'I 4/m m m'
_symmetry_Int_Tables_number 139
_symmetry_space_group_name_Hall '-I 4 2'
_cell_length_a 3.979
_cell_length_b 3.979
_cell_length_c 13.665
_cell_angle_alpha 90.00
_cell_angle_beta 90.00
_cell_angle_gamma 90.00
loop_
_atom_site_label
_atom_site_type_symbol
_atom_site_fract_x
_atom_site_fract_y
_atom_site_fract_z
K1 K 0.000 0.000 0.157
Mo1 Mo 0.000 0.000 0.500
O1 O 0.000 0.000 0.362
O2 O 0.000 0.500 0.000
# DFT total energy ... -82.48 eV for the cell shown